# 1
Material: TaNb2PbO8
Method: DFT, PBE
State: relaxed

Geometry as POSCAR:
```
TaNb2PbO8
1.0
4.955 0.095 0.084
0.144 4.953 0.082
0.120 0.121 6.677
O Pb Nb Ta
8 1 2 1
direct
0.714 0.714 0.009
0.204 0.779 0.204
0.286 0.286 0.991
0.665 0.665 0.483
0.796 0.221 0.796
0.335 0.335 0.517
0.779 0.205 0.204
0.221 0.795 0.796
0.000 0.000 0.500
0.516 0.516 0.245
0.484 0.484 0.755
0.000 0.000 0.000
```

Summary:
Formation energy from raw total energies = -2.283 eV/atom
Total energy = -8.56 eV/atom
Crystal system = monoclinic

***

# 2
Material: NbTc2PbO8
Method: DFT, PBE
State: relaxed

Geometry as POSCAR:
```
NbTc2PbO8
1.0
-0.655 -4.080 -2.773
3.017 -2.673 2.908
-4.885 -1.637 3.562
O Tc Pb Nb
8 2 1 1
direct
0.221 0.777 0.795
0.221 0.777 0.205
0.293 0.291 0.000
0.341 0.339 0.500
0.707 0.709 0.000
0.779 0.223 0.205
0.659 0.661 0.500
0.779 0.223 0.795
0.500 0.500 0.234
0.500 0.500 0.766
0.000 0.000 0.500
0.000 0.000 0.000
```

Summary:
Formation energy from raw total energies = -1.546 eV/atom
Total energy = -7.73 eV/atom
Crystal system = monoclinic

***

# 3
Material: NbTe2PbO8
Method: DFT, PBE
State: relaxed

Geometry as POSCAR:
```
NbTe2PbO8
1.0
5.532 0.000 0.000
2.766 6.074 0.830
2.766 3.338 5.792
O Nb Te Pb
8 1 2 1
direct
0.632 0.986 0.231
0.849 0.014 0.769
0.084 0.604 0.228
0.151 0.986 0.231
0.916 0.396 0.772
0.368 0.014 0.769
0.313 0.515 0.859
0.687 0.485 0.141
0.000 0.000 0.000
0.723 0.761 0.793
0.277 0.239 0.207
0.500 0.500 0.500
```

Summary:
Formation energy from raw total energies = -1.327 eV/atom
Total energy = -6.30 eV/atom
Crystal system = monoclinic

***

# 4
Material: ThNbPbO6
Method: DFT, PBE
State: relaxed

Geometry as POSCAR:
```
ThNbPbO6
1.0
5.148 0.000 0.000
0.000 5.148 0.000
0.000 0.000 10.475
O Nb Pb Th
12 2 2 2
direct
0.321 0.321 0.983
0.814 0.186 0.189
0.179 0.821 0.483
0.279 0.279 0.329
0.679 0.679 0.983
0.314 0.314 0.689
0.721 0.721 0.329
0.686 0.686 0.689
0.221 0.779 0.829
0.779 0.221 0.829
0.821 0.179 0.483
0.186 0.814 0.189
0.000 0.000 0.332
0.500 0.500 0.832
0.000 0.000 0.997
0.500 0.500 0.497
0.000 0.000 0.668
0.500 0.500 0.168
```

Summary:
Formation energy from raw total energies = -2.436 eV/atom
Total energy = -8.10 eV/atom
Crystal system = tetragonal

***

# 5
Material: TiNb2ZnPb4O12
Method: DFT, PBE
State: relaxed

Geometry as POSCAR:
```
TiNb2ZnPb4O12
1.0
4.730 0.003 -0.005
0.022 3.882 -0.015
0.020 0.063 16.261
O Zn Ti Nb Pb
12 1 1 2 4
direct
0.063 0.522 0.367
0.530 0.529 0.488
0.551 0.021 0.897
0.545 0.013 0.629
0.001 0.541 0.629
0.530 0.529 0.770
0.578 0.523 0.247
0.063 0.522 0.891
0.578 0.523 0.012
0.573 0.022 0.129
0.551 0.021 0.362
0.095 0.524 0.129
0.414 0.506 0.629
0.465 0.521 0.129
0.448 0.518 0.884
0.448 0.518 0.374
0.902 0.018 0.247
0.882 0.972 0.527
0.882 0.972 0.732
0.902 0.018 0.012
```

Summary:
Formation energy from raw total energies = -1.964 eV/atom
Total energy = -7.15 eV/atom
Crystal system = monoclinic

***

# 6
Material: NbTl2PbO4
Method: DFT, PBE
State: relaxed

Geometry as POSCAR:
```
NbTl2PbO4
1.0
5.136 0.000 0.000
0.000 8.614 0.000
0.000 0.000 8.086
Tl O Pb Nb
4 8 2 2
direct
0.972 0.626 0.721
0.472 0.374 0.221
0.972 0.626 0.279
0.472 0.374 0.779
0.912 0.230 0.195
0.870 0.898 0.500
0.412 0.770 0.305
0.394 0.085 0.500
0.412 0.770 0.695
0.370 0.102 0.000
0.894 0.915 0.000
0.912 0.230 0.805
0.463 0.823 0.000
0.963 0.177 0.500
0.505 0.877 0.500
0.005 0.123 0.000
```

Summary:
Formation energy from raw total energies = -1.462 eV/atom
Total energy = -6.25 eV/atom
Crystal system = orthorhombic

***

# 7
Material: Nb2TlPbO6
Method: DFT, PBE
State: relaxed

Geometry as POSCAR:
```
Nb2TlPbO6
1.0
6.100 -0.269 -0.279
1.717 8.142 0.103
1.717 -0.199 8.140
Nb O Pb Tl
4 12 2 2
direct
0.238 0.363 0.152
0.738 0.152 0.363
0.762 0.637 0.848
0.262 0.848 0.637
0.487 0.264 0.262
0.146 0.583 0.191
0.179 0.069 0.690
0.354 0.809 0.417
0.679 0.690 0.069
0.854 0.417 0.809
0.513 0.736 0.738
0.987 0.262 0.264
0.321 0.310 0.931
0.821 0.931 0.310
0.013 0.738 0.736
0.646 0.191 0.583
0.750 0.669 0.331
0.250 0.331 0.669
0.750 0.129 0.871
0.250 0.871 0.129
```

Summary:
Formation energy from raw total energies = -1.898 eV/atom
Total energy = -7.49 eV/atom
Crystal system = monoclinic

***

# 8
Material: NbTlPbO4
Method: DFT, PBE
State: relaxed

Geometry as POSCAR:
```
NbTlPbO4
1.0
6.990 0.000 0.745
0.000 6.345 0.000
-1.995 0.000 7.232
Tl Pb O Nb
2 2 8 2
direct
0.666 0.750 0.901
0.334 0.250 0.099
0.197 0.250 0.567
0.803 0.750 0.433
0.867 0.487 0.646
0.495 0.750 0.556
0.133 0.987 0.354
0.133 0.513 0.354
0.867 0.013 0.646
0.578 0.250 0.847
0.505 0.250 0.444
0.422 0.750 0.153
0.299 0.750 0.353
0.701 0.250 0.647
```

Summary:
Formation energy from raw total energies = -1.751 eV/atom
Total energy = -6.89 eV/atom
Crystal system = monoclinic

***

# 9
Material: Nb2Tl2PbO7
Method: DFT, PBE
State: relaxed

Geometry as POSCAR:
```
Nb2Tl2PbO7
1.0
4.067 0.012 -0.090
0.017 4.067 -0.090
1.730 1.728 11.565
Nb O Tl Pb
2 7 2 1
direct
0.588 0.588 0.816
0.412 0.412 0.184
0.384 0.384 0.345
0.060 0.554 0.831
0.940 0.446 0.169
0.554 0.060 0.831
0.500 0.500 0.000
0.446 0.940 0.169
0.616 0.616 0.655
0.809 0.809 0.390
0.191 0.191 0.610
0.000 0.000 0.000
```

Summary:
Formation energy from raw total energies = -1.883 eV/atom
Total energy = -7.16 eV/atom
Crystal system = monoclinic

***

# 10
Material: UNbPb2O8
Method: DFT, PBE
State: relaxed

Geometry as POSCAR:
```
UNbPb2O8
1.0
5.312 -0.070 -0.003
-0.072 5.321 -0.006
0.004 0.008 6.783
O U Pb Nb
8 1 2 1
direct
0.830 0.168 0.262
0.731 0.729 0.500
0.170 0.832 0.738
0.262 0.263 0.000
0.170 0.832 0.262
0.269 0.271 0.500
0.830 0.168 0.738
0.738 0.737 0.000
0.000 0.000 0.000
0.500 0.500 0.739
0.500 0.500 0.261
0.000 0.000 0.500
```

Summary:
Formation energy from raw total energies = -2.098 eV/atom
Total energy = -7.80 eV/atom
Crystal system = monoclinic